Here is an optimized crystal structure of Fe2PdSe from Alexandria via LeMat-Bulk. Energies are from PBE.

POSCAR file:
```
Fe2PdSe
1.0
5.065 0.000 0.000
0.000 5.065 0.000
2.532 2.532 5.733
Se Pd Fe
2 2 4
Direct
0.500 0.500 0.000
0.250 0.750 0.500
0.000 0.000 0.000
0.750 0.250 0.500
0.602 0.125 0.250
0.148 0.625 0.250
0.375 0.398 0.750
0.875 0.852 0.750
```

Results
As for the calculated volume: 18.38 A^3/atom. For the uncorrected formation energy, the calculation gives 0.810 eV per atom.